DFT (PBE) results for a relaxed PmErSnSe crystal.

Lattice parameters (Å, degrees): 4.315 4.317 6.027 90.01 90.00 90.00
Sites, in units of the cell vectors:
Sn (0.500, 0.392, 0.593)
Se (0.000, 0.892, 0.092)
Er (0.500, 0.391, 0.093)
Pm (0.000, 0.892, 0.592)

Values from the calculation:
Raw formation energy ... -1.2203 eV per atom
Symmetry ... No. 123